Material: TaMnCrO6
Method: DFT, PBE+U
State: optimized geometry

Mass density = 6.70 g/cm3
Crystal system = trigonal
DFT total energy = -8.261 eV/atom
Space-group type = No. 163

extended XYZ file:
```
18
Lattice="5.019 0.000 0.000 -2.509 4.346 0.000 0.000 0.000 8.727" Properties=species:S:1:pos:R:3 pbc="T T T"
Ta 0.000 2.898 2.182
Ta 2.509 1.449 6.546
Mn 0.000 0.000 0.000
Mn 0.000 0.000 4.364
Cr 0.000 2.898 6.546
Cr 2.509 1.449 2.182
O -0.822 1.441 1.099
O -1.673 2.914 3.265
O 0.822 1.441 3.265
O -0.851 4.338 1.099
O 1.659 0.008 5.463
O 0.837 1.432 7.629
O 1.673 2.914 1.099
O 0.851 4.338 3.265
O 3.360 0.008 7.629
O 1.687 2.906 5.463
O 4.182 1.432 5.463
O 3.331 2.906 7.629
```